{
  "formula": "RbCrAs3",
  "functional": "GGA-PBE",
  "state": "optimized geometry",
  "total_energy_ev_per_atom": -4.78,
  "relative_energy_ev_per_atom": 0.000,
  "formation_energy_ev_per_atom": 0.1317,
  "volume_a3_per_atom": 22.8,
  "lattice": [[4.852, 0.000, 0.000], [0.000, 4.852, 0.000], [0.000, 0.000, 4.852]],
  "species": ["Rb", "Cr", "As", "As", "As"],
  "frac_coords": [[0.000, 0.000, 0.000], [0.500, 0.500, 0.500], [0.000, 0.500, 0.500], [0.500, 0.000, 0.500], [0.500, 0.500, 0.000]]
}

=====

{
  "formula": "Tc2AgOs",
  "functional": "GGA-PBE",
  "state": "optimized geometry",
  "total_energy_ev_per_atom": -8.37,
  "relative_energy_ev_per_atom": 0.068,
  "formation_energy_ev_per_atom": 0.3327,
  "volume_a3_per_atom": 15.3,
  "lattice": [[2.731, 0.000, 0.000], [0.000, 2.731, 0.000], [0.000, 0.000, 8.184]],
  "species": ["Tc", "Tc", "Ag", "Os"],
  "frac_coords": [[0.000, 0.000, 0.232], [0.000, 0.000, 0.768], [0.500, 0.500, 0.500], [0.500, 0.500, 0.000]]
}

=====

{
  "formula": "TlCu2Br",
  "functional": "GGA-PBE",
  "state": "optimized geometry",
  "total_energy_ev_per_atom": -2.77,
  "e_form_raw_ev_per_atom": 0.292,
  "relative_energy_ev_per_atom": 0.244,
  "volume_a3_per_atom": 21.7,
  "lattice": [[3.680, 0.000, 0.000], [0.000, 3.746, 0.000], [0.000, 0.000, 6.293]],
  "species": ["Tl", "Cu", "Cu", "Br"],
  "frac_coords": [[0.000, 0.000, 0.000], [0.500, 0.500, 0.191], [0.500, 0.500, 0.809], [0.000, 0.000, 0.500]]
}